P | DFT (PBE) results for a geometry-optimized YVP2 structure.

```
data_YVP2
_symmetry_space_group_name_H-M 'R -3 m'
_symmetry_Int_Tables_number 166
_symmetry_space_group_name_Hall '-R 3 2"'
_cell_length_a 4.0915
_cell_length_b 4.0915
_cell_length_c 22.5761
_cell_angle_alpha 90.00
_cell_angle_beta 90.00
_cell_angle_gamma 120.00
loop_
_atom_site_label
_atom_site_type_symbol
_atom_site_fract_x
_atom_site_fract_y
_atom_site_fract_z
_atom_site_occupancy
Y1 Y 0.0000 0.0000 0.0000 1
V1 V 0.0000 0.0000 0.5000 1
P1 P 0.0000 0.0000 0.3998 1
```

- Magnetization: 6.30 μB/cell
- Theoretical density: 3.07 g cm⁻³

Q | DFT (PBE) results for a geometry-optimized YVP2 structure.

```
data_YVP2
_symmetry_space_group_name_H-M 'I -4 2 d'
_symmetry_Int_Tables_number 122
_symmetry_space_group_name_Hall 'I -4 2bw'
_cell_length_a 5.719
_cell_length_b 5.719
_cell_length_c 12.058
_cell_angle_alpha 90.00
_cell_angle_beta 90.00
_cell_angle_gamma 90.00
loop_
_atom_site_label
_atom_site_type_symbol
_atom_site_fract_x
_atom_site_fract_y
_atom_site_fract_z
_atom_site_occupancy
Y1 Y 0.000 0.000 0.000 1
V1 V 0.000 0.000 0.500 1
P1 P 0.190 0.250 0.625 1
```

- Magnetization: 7.92 μB/cell
- Theoretical density: 3.40 g cm⁻³

R | DFT (PBE) results for a geometry-optimized YVP2 structure.

```
data_YVP2
_symmetry_space_group_name_H-M 'F m -3 m'
_symmetry_Int_Tables_number 225
_symmetry_space_group_name_Hall '-F 4 2 3'
_cell_length_a 6.516
_cell_length_b 6.516
_cell_length_c 6.516
_cell_angle_alpha 90.00
_cell_angle_beta 90.00
_cell_angle_gamma 90.00
loop_
_atom_site_label
_atom_site_type_symbol
_atom_site_fract_x
_atom_site_fract_y
_atom_site_fract_z
_atom_site_occupancy
Y1 Y 0.000 0.000 0.000 1
V1 V 0.000 0.000 0.500 1
P1 P 0.250 0.250 0.250 1
```

- Magnetization: 7.64 μB/cell
- Theoretical density: 4.84 g cm⁻³

Relative energy of each structure, in meV per atom: P 572; Q 22; R 0.

P | DFT (PBE) results for a geometry-optimized YV2P2 structure.

```
data_YV2P2
_symmetry_space_group_name_H-M 'I 4/m m m'
_symmetry_Int_Tables_number 139
_symmetry_space_group_name_Hall '-I 4 2'
_cell_length_a 3.756
_cell_length_b 3.756
_cell_length_c 11.457
_cell_angle_alpha 90.00
_cell_angle_beta 90.00
_cell_angle_gamma 90.00
loop_
_atom_site_label
_atom_site_type_symbol
_atom_site_fract_x
_atom_site_fract_y
_atom_site_fract_z
_atom_site_occupancy
Y1 Y 0.000 0.000 0.000 1
V1 V 0.000 0.500 0.250 1
P1 P 0.000 0.000 0.379 1
```

- Magnetization: 0.00 μB/cell
- Theoretical density: 5.19 g cm⁻³

Q | DFT (PBE) results for a geometry-optimized YV2P2 structure.

```
data_YV2P2
_symmetry_space_group_name_H-M 'I 4/m m m'
_symmetry_Int_Tables_number 139
_symmetry_space_group_name_Hall '-I 4 2'
_cell_length_a 4.554
_cell_length_b 4.554
_cell_length_c 7.974
_cell_angle_alpha 90.00
_cell_angle_beta 90.00
_cell_angle_gamma 90.00
loop_
_atom_site_label
_atom_site_type_symbol
_atom_site_fract_x
_atom_site_fract_y
_atom_site_fract_z
_atom_site_occupancy
Y1 Y 0.000 0.000 0.000 1
V1 V 0.000 0.000 0.374 1
P1 P 0.000 0.500 0.250 1
```

- Magnetization: 0.00 μB/cell
- Theoretical density: 5.08 g cm⁻³

Relative energy of each structure, in meV per atom: P 0; Q 339.

P | DFT (PBE) results for a geometry-optimized VZnP3 structure.

```
data_VZnP3
_symmetry_space_group_name_H-M 'P m -3 m'
_symmetry_Int_Tables_number 221
_symmetry_space_group_name_Hall '-P 4 2 3'
_cell_length_a 4.539
_cell_length_b 4.539
_cell_length_c 4.539
_cell_angle_alpha 90.00
_cell_angle_beta 90.00
_cell_angle_gamma 90.00
loop_
_atom_site_label
_atom_site_type_symbol
_atom_site_fract_x
_atom_site_fract_y
_atom_site_fract_z
_atom_site_occupancy
V1 V 0.000 0.000 0.000 1
Zn1 Zn 0.500 0.500 0.500 1
P1 P 0.000 0.000 0.500 1
```

- Magnetization: 0.00 μB/cell
- Theoretical density: 3.71 g cm⁻³

Q | DFT (PBE) results for a geometry-optimized VZnP3 structure.

```
data_VZnP3
_symmetry_space_group_name_H-M 'P m -3 m'
_symmetry_Int_Tables_number 221
_symmetry_space_group_name_Hall '-P 4 2 3'
_cell_length_a 4.573
_cell_length_b 4.573
_cell_length_c 4.573
_cell_angle_alpha 90.00
_cell_angle_beta 90.00
_cell_angle_gamma 90.00
loop_
_atom_site_label
_atom_site_type_symbol
_atom_site_fract_x
_atom_site_fract_y
_atom_site_fract_z
_atom_site_occupancy
V1 V 0.000 0.000 0.000 1
Zn1 Zn 0.500 0.500 0.500 1
P1 P 0.000 0.500 0.500 1
```

- Magnetization: 2.69 μB/cell
- Theoretical density: 3.63 g cm⁻³

Relative energy of each structure, in meV per atom: P 0; Q 710.

P | DFT (PBE) results for a geometry-optimized ZrV3P structure.

```
data_ZrV3P
_symmetry_space_group_name_H-M 'P m -3 m'
_symmetry_Int_Tables_number 221
_symmetry_space_group_name_Hall '-P 4 2 3'
_cell_length_a 4.618
_cell_length_b 4.618
_cell_length_c 4.618
_cell_angle_alpha 90.00
_cell_angle_beta 90.00
_cell_angle_gamma 90.00
loop_
_atom_site_label
_atom_site_type_symbol
_atom_site_fract_x
_atom_site_fract_y
_atom_site_fract_z
_atom_site_occupancy
Zr1 Zr 0.000 0.000 0.000 1
V1 V 0.000 0.000 0.500 1
P1 P 0.500 0.500 0.500 1
```

- Magnetization: 0.00 μB/cell
- Theoretical density: 4.64 g cm⁻³

Q | DFT (PBE) results for a geometry-optimized ZrV3P structure.

```
data_ZrV3P
_symmetry_space_group_name_H-M 'P m -3 m'
_symmetry_Int_Tables_number 221
_symmetry_space_group_name_Hall '-P 4 2 3'
_cell_length_a 4.388
_cell_length_b 4.388
_cell_length_c 4.388
_cell_angle_alpha 90.00
_cell_angle_beta 90.00
_cell_angle_gamma 90.00
loop_
_atom_site_label
_atom_site_type_symbol
_atom_site_fract_x
_atom_site_fract_y
_atom_site_fract_z
_atom_site_occupancy
Zr1 Zr 0.000 0.000 0.000 1
V1 V 0.000 0.500 0.500 1
P1 P 0.500 0.500 0.500 1
```

- Magnetization: 1.02 μB/cell
- Theoretical density: 5.41 g cm⁻³

Relative energy of each structure, in meV per atom: P 1805; Q 0.

P | DFT (PBE) results for a geometry-optimized Zr2VP2 structure.

```
data_Zr2VP2
_symmetry_space_group_name_H-M 'P 4/m b m'
_symmetry_Int_Tables_number 127
_symmetry_space_group_name_Hall '-P 4 2ab'
_cell_length_a 6.581
_cell_length_b 6.581
_cell_length_c 3.737
_cell_angle_alpha 90.00
_cell_angle_beta 90.00
_cell_angle_gamma 90.00
loop_
_atom_site_label
_atom_site_type_symbol
_atom_site_fract_x
_atom_site_fract_y
_atom_site_fract_z
_atom_site_occupancy
Zr1 Zr 0.166 0.334 0.000 1
V1 V 0.000 0.000 0.500 1
P1 P 0.142 0.642 0.500 1
```

- Magnetization: 0.01 μB/cell
- Theoretical density: 6.06 g cm⁻³

Q | DFT (PBE) results for a geometry-optimized Zr2VP2 structure.

```
data_Zr2VP2
_symmetry_space_group_name_H-M 'I 4/m m m'
_symmetry_Int_Tables_number 139
_symmetry_space_group_name_Hall '-I 4 2'
_cell_length_a 3.434
_cell_length_b 3.434
_cell_length_c 15.351
_cell_angle_alpha 90.00
_cell_angle_beta 90.00
_cell_angle_gamma 90.00
loop_
_atom_site_label
_atom_site_type_symbol
_atom_site_fract_x
_atom_site_fract_y
_atom_site_fract_z
_atom_site_occupancy
Zr1 Zr 0.000 0.000 0.112 1
V1 V 0.000 0.000 0.500 1
P1 P 0.000 0.500 0.250 1
```

- Magnetization: 5.31 μB/cell
- Theoretical density: 5.42 g cm⁻³

Relative energy of each structure, in meV per atom: P 0; Q 777.

P | DFT (PBE) results for a geometry-optimized Zr3VP structure.

```
data_Zr3VP
_symmetry_space_group_name_H-M 'P m -3 m'
_symmetry_Int_Tables_number 221
_symmetry_space_group_name_Hall '-P 4 2 3'
_cell_length_a 4.815
_cell_length_b 4.815
_cell_length_c 4.815
_cell_angle_alpha 90.00
_cell_angle_beta 90.00
_cell_angle_gamma 90.00
loop_
_atom_site_label
_atom_site_type_symbol
_atom_site_fract_x
_atom_site_fract_y
_atom_site_fract_z
_atom_site_occupancy
Zr1 Zr 0.000 0.000 0.500 1
V1 V 0.000 0.000 0.000 1
P1 P 0.500 0.500 0.500 1
```

- Magnetization: 0.00 μB/cell
- Theoretical density: 5.29 g cm⁻³

Q | DFT (PBE) results for a geometry-optimized Zr3VP structure.

```
data_Zr3VP
_symmetry_space_group_name_H-M 'P m -3 m'
_symmetry_Int_Tables_number 221
_symmetry_space_group_name_Hall '-P 4 2 3'
_cell_length_a 4.874
_cell_length_b 4.874
_cell_length_c 4.874
_cell_angle_alpha 90.00
_cell_angle_beta 90.00
_cell_angle_gamma 90.00
loop_
_atom_site_label
_atom_site_type_symbol
_atom_site_fract_x
_atom_site_fract_y
_atom_site_fract_z
_atom_site_occupancy
Zr1 Zr 0.000 0.000 0.500 1
V1 V 0.500 0.500 0.500 1
P1 P 0.000 0.000 0.000 1
```

- Magnetization: 2.86 μB/cell
- Theoretical density: 5.10 g cm⁻³

Relative energy of each structure, in meV per atom: P 661; Q 0.

P | DFT (PBE) results for a geometry-optimized P2W structure.

```
data_P2W
_symmetry_space_group_name_H-M 'I 4/m m m'
_symmetry_Int_Tables_number 139
_symmetry_space_group_name_Hall '-I 4 2'
_cell_length_a 3.244
_cell_length_b 3.244
_cell_length_c 7.867
_cell_angle_alpha 90.00
_cell_angle_beta 90.00
_cell_angle_gamma 90.00
loop_
_atom_site_label
_atom_site_type_symbol
_atom_site_fract_x
_atom_site_fract_y
_atom_site_fract_z
_atom_site_occupancy
P1 P 0.000 0.000 0.169 1
W1 W 0.000 0.000 0.500 1
```

- Magnetization: 0.00 μB/cell
- Theoretical density: 9.86 g cm⁻³

Q | DFT (PBE) results for a geometry-optimized P2W structure.

```
data_P2W
_symmetry_space_group_name_H-M 'C m c 21'
_symmetry_Int_Tables_number 36
_cell_length_a 3.193
_cell_length_b 11.216
_cell_length_c 4.998
_cell_angle_alpha 90.00
_cell_angle_beta 90.00
_cell_angle_gamma 90.00
loop_
_symmetry_equiv_pos_as_xyz
'x,y,z'
'-x,-y,z+1/2'
'-x,y,z'
'x,-y,z+1/2'
'x+1/2,y+1/2,z'
'-x+1/2,-y+1/2,z+1/2'
'-x+1/2,y+1/2,z'
'x+1/2,-y+1/2,z+1/2'
loop_
_atom_site_label
_atom_site_type_symbol
_atom_site_fract_x
_atom_site_fract_y
_atom_site_fract_z
_atom_site_occupancy
P1 P 0.000 0.070 0.000 1
P2 P 0.000 0.202 0.317 1
W1 W 0.000 0.407 0.117 1
```

- Magnetization: 0.00 μB/cell
- Theoretical density: 9.12 g cm⁻³

R | DFT (PBE) results for a geometry-optimized P2W structure.

```
data_P2W
_symmetry_space_group_name_H-M 'C 1 m 1'
_symmetry_Int_Tables_number 8
_cell_length_a 8.726
_cell_length_b 3.221
_cell_length_c 6.485
_cell_angle_alpha 90.00
_cell_angle_beta 95.95
_cell_angle_gamma 90.00
loop_
_symmetry_equiv_pos_as_xyz
'x,y,z'
'x,-y,z'
'x+1/2,y+1/2,z'
'x+1/2,-y+1/2,z'
loop_
_atom_site_label
_atom_site_type_symbol
_atom_site_fract_x
_atom_site_fract_y
_atom_site_fract_z
_atom_site_occupancy
P1 P 0.000 0.000 0.000 1
P2 P 0.074 0.000 0.587 1
P3 P 0.257 0.500 0.958 1
P4 P 0.338 0.000 0.334 1
W1 W 0.127 0.500 0.295 1
W2 W 0.355 0.000 0.712 1
```

- Magnetization: 0.00 μB/cell
- Theoretical density: 9.01 g cm⁻³

S | DFT (PBE) results for a geometry-optimized P2W structure.

```
data_P2W
_symmetry_space_group_name_H-M 'P 63/m m c'
_symmetry_Int_Tables_number 194
_symmetry_space_group_name_Hall '-P 6c 2c'
_cell_length_a 4.4206
_cell_length_b 4.4206
_cell_length_c 5.1239
_cell_angle_alpha 90.00
_cell_angle_beta 90.00
_cell_angle_gamma 120.00
loop_
_atom_site_label
_atom_site_type_symbol
_atom_site_fract_x
_atom_site_fract_y
_atom_site_fract_z
_atom_site_occupancy
P1 P 0.0000 0.0000 0.0000 1
P2 P 0.3333 0.6667 0.2500 1
W1 W 0.3333 0.6667 0.7500 1
```

- Magnetization: 0.00 μB/cell
- Theoretical density: 9.41 g cm⁻³

Relative energy of each structure, in meV per atom: P 388; Q 0; R 421; S 909.